First-principles (GGA-PBEsol) data for a relaxed NaSbP2O crystal, as listed in the Alexandria database.

Summary:
- Calculated density: 3.96 g cm⁻³
- DOS at the Fermi energy: 4.6 states/eV per cell
- Formation energy (no corrections): 0.9421 eV per atom
- Space-group type: P4/mmm (123)

```
NaSbP2O
1.0
3.912 0.000 0.000
0.000 4.883 0.000
0.000 0.000 4.883
O Na P Sb
1 1 2 1
direct
0.500 0.000 0.000 O
0.000 0.000 0.000 Na
0.000 0.000 0.500 P
0.000 0.500 0.000 P
0.500 0.500 0.500 Sb
```